Density functional theory data (PBE) for crystalline KAl2Mo at its relaxed geometry.

Values from the calculation:
Space-group type   Cm (8)
Distance to the lowest polymorph of the same formula   99 kJ/mol of formula units
DFT formation energy   11.5 kcal/mol of atoms

Geometry as extended XYZ:
```
4
Lattice="4.634 -1.392 0.000 4.634 1.392 0.000 -0.549 0.000 7.692" Properties=species:S:1:pos:R:3 pbc="T T T"
K 0.000 0.000 0.000
Al 4.265 0.000 4.245
Al 6.852 0.000 2.698
Mo 1.760 0.000 4.891
```

Density functional theory data (PBE) for crystalline KAl2Mo at its relaxed geometry.

Values from the calculation:
Space-group type   Imm2 (44)
Distance to the lowest polymorph of the same formula   146 kJ/mol of formula units
DFT formation energy   14.3 kcal/mol of atoms

Geometry as extended XYZ:
```
4
Lattice="-1.394 2.661 5.522 1.394 -2.661 5.522 1.394 2.661 -5.522" Properties=species:S:1:pos:R:3 pbc="T T T"
K 0.000 0.000 0.000
Al 1.394 0.000 3.139
Al 0.000 0.000 5.709
Mo 0.000 2.661 2.386
```

Density functional theory data (PBE) for crystalline KAl2Mo2 at its relaxed geometry.

Values from the calculation:
Space-group type   I4/mmm (139)
DFT formation energy   15.6 kcal/mol of atoms

Geometry as extended XYZ:
```
5
Lattice="-2.544 2.544 4.106 2.544 -2.544 4.106 2.544 2.544 -4.106" Properties=species:S:1:pos:R:3 pbc="T T T"
K 0.000 0.000 0.000
Al 2.544 0.000 2.053
Al 0.000 2.544 2.053
Mo 0.000 0.000 2.963
Mo 0.000 0.000 5.249
```

Density functional theory data (PBE) for crystalline KAl2Mo at its relaxed geometry.

Values from the calculation:
Space-group type   I4_1/amd (141)
Distance to the lowest polymorph of the same formula   256 kJ/mol of formula units
DFT formation energy   20.9 kcal/mol of atoms

Geometry as extended XYZ:
```
8
Lattice="-2.718 2.718 8.832 2.718 -2.718 8.832 2.718 2.718 -8.832" Properties=species:S:1:pos:R:3 pbc="T T T"
K 2.718 1.359 2.208
K 0.000 1.359 6.624
Al 0.000 0.000 0.000
Al 1.359 1.359 -4.416
Al 1.359 -1.359 4.416
Al 0.000 2.718 0.000
Mo 2.718 -1.359 6.624
Mo 0.000 4.076 2.208
```

Density functional theory data (PBE) for crystalline KAlMo3 at its relaxed geometry.

Values from the calculation:
Space-group type   Pm-3m (221)
Distance to the lowest polymorph of the same formula   468 kJ/mol of formula units
DFT formation energy   67.0 kcal/mol of atoms

Geometry as extended XYZ:
```
5
Lattice="4.516 0.000 0.000 0.000 4.516 0.000 0.000 0.000 4.516" Properties=species:S:1:pos:R:3 pbc="T T T"
K 0.000 0.000 0.000
Al 2.258 2.258 2.258
Mo 0.000 0.000 2.258
Mo 0.000 2.258 0.000
Mo 2.258 0.000 0.000
```

Density functional theory data (PBE) for crystalline KAl2Mo at its relaxed geometry.

Values from the calculation:
Space-group type   Immm (71)
Distance to the lowest polymorph of the same formula   206 kJ/mol of formula units
DFT formation energy   17.8 kcal/mol of atoms

Geometry as extended XYZ:
```
4
Lattice="-1.420 3.032 5.584 1.420 -3.032 5.584 1.420 3.032 -5.584" Properties=species:S:1:pos:R:3 pbc="T T T"
K 0.000 0.000 0.000
Al 1.420 0.000 3.347
Al 0.000 3.032 2.238
Mo 0.000 0.000 5.584
```

Density functional theory data (PBE) for crystalline KAl2Mo at its relaxed geometry.

Values from the calculation:
Space-group type   C2/m (12)
Distance to the lowest polymorph of the same formula   57 kJ/mol of formula units
DFT formation energy   9.0 kcal/mol of atoms

Geometry as extended XYZ:
```
4
Lattice="4.491 -1.393 0.000 4.491 1.393 0.000 -0.526 0.000 7.333" Properties=species:S:1:pos:R:3 pbc="T T T"
K 0.000 0.000 0.000
Al 1.785 0.000 4.826
Al 6.671 0.000 2.507
Mo 4.228 0.000 3.667
```

Density functional theory data (PBE) for crystalline KAl2Mo at its relaxed geometry.

Values from the calculation:
Space-group type   P4mm (99)
Distance to the lowest polymorph of the same formula   131 kJ/mol of formula units
DFT formation energy   13.4 kcal/mol of atoms

Geometry as extended XYZ:
```
4
Lattice="3.557 0.000 0.000 0.000 3.557 0.000 0.000 0.000 8.196" Properties=species:S:1:pos:R:3 pbc="T T T"
K 0.000 0.000 0.000
Al 0.000 0.000 3.392
Al 1.779 1.779 5.406
Mo 1.779 1.779 2.919
```

Density functional theory data (PBE) for crystalline KAl2Mo at its relaxed geometry.

Values from the calculation:
Space-group type   F-43m (216)
Distance to the lowest polymorph of the same formula   327 kJ/mol of formula units
DFT formation energy   25.1 kcal/mol of atoms

Geometry as extended XYZ:
```
4
Lattice="0.000 3.395 3.395 3.395 0.000 3.395 3.395 3.395 0.000" Properties=species:S:1:pos:R:3 pbc="T T T"
K 0.000 0.000 0.000
Al 3.395 3.395 3.395
Al 5.092 5.092 5.092
Mo 1.697 1.697 1.697
```

> Which value of DFT formation energy does entry 4 give?

20.9 kcal/mol of atoms

> What is the DFT formation energy in the sixth record?

17.8 kcal/mol of atoms

> DFT formation energy of number 4 (KAl2Mo)?

20.9 kcal/mol of atoms

> Which value of DFT formation energy does entry 1 give?

11.5 kcal/mol of atoms